VASP calculation (PBE) on a relaxed structure of CeNdVN4.

Lattice parameters (Å, degrees): 6.8597 6.8597 5.3946 90.00 90.00 133.76
Last column: nearest neighbours and their distance in Å.
Element x y z (fractional)
Ce1 0.1054 0.8946 0.7500  1 N 2.15
Ce2 0.8946 0.1054 0.2500  1 N 2.15
Nd1 0.3898 0.6102 0.7500  9 N 2.47-2.75
Nd2 0.6102 0.3898 0.2500  9 N 2.47-2.75
V1 0.2703 0.7297 0.2500  5 N 1.82-1.92
V2 0.7297 0.2703 0.7500  5 N 1.82-1.92
N1 0.0000 0.5000 0.0000  2 V 1.92
N2 0.0000 0.5000 0.5000  2 V 1.92
N3 0.0646 0.9354 0.2500  1 Ce 2.15
N4 0.4146 0.5854 0.2500  1 V 1.82
N5 0.5000 0.0000 0.0000  2 V 1.92
N6 0.5000 0.0000 0.5000  2 V 1.92
N7 0.5854 0.4146 0.7500  1 V 1.82
N8 0.9354 0.0646 0.7500  1 Ce 2.15

N(E_F): 2.3 states/eV/cell
ΔE_f (raw): -1219 meV/atom
VASP energy: -8.808 eV per atom
Calculated volume: 183.3 Å³/cell